[1]
Ti2FeMo after structural relaxation, computed with PBE.

For the total DFT energy (no corrections), the calculation gives -8.95 eV/atom. The calculation puts the calculated formation energy at -17.5 kJ per mole of atoms. The calculation puts the density of states at the Fermi level at 4.88 states/eV/f.u.

Geometry as CIF:
```
data_Ti2FeMo
_chemical_formula_sum 'Ti2 Fe1 Mo1'
_cell_length_a 4.339
_cell_length_b 4.339
_cell_length_c 3.071
_cell_angle_alpha 90.00
_cell_angle_beta 90.00
_cell_angle_gamma 90.00
_space_group_name_H-M_alt 'P 4/m m m'
_space_group_IT_number 123
_space_group_name_Hall '-P 4 2'
loop_
_atom_site_label
_atom_site_type_symbol
_atom_site_fract_x
_atom_site_fract_y
_atom_site_fract_z
_atom_site_occupancy
Ti1 Ti 0.000 0.500 0.000 1
Fe1 Fe 0.000 0.000 0.500 1
Mo1 Mo 0.500 0.500 0.500 1
```



[2]
Ba2Li16Ac after structural relaxation, computed with PBE.

For the total DFT energy (no corrections), the calculation gives -1.99 eV/atom. The calculation puts the calculated formation energy at 4.3 kJ per mole of atoms. The calculation puts the density of states at the Fermi level at 13.06 states/eV/f.u.

Geometry as CIF:
```
data_Ba2Li16Ac
_chemical_formula_sum 'Ba6 Li48 Ac3'
_cell_length_a 10.6399
_cell_length_b 10.6399
_cell_length_c 15.5028
_cell_angle_alpha 90.00
_cell_angle_beta 90.00
_cell_angle_gamma 120.00
_space_group_name_H-M_alt 'R 3 m'
_space_group_IT_number 160
_space_group_name_Hall 'R 3 -2"'
loop_
_atom_site_label
_atom_site_type_symbol
_atom_site_fract_x
_atom_site_fract_y
_atom_site_fract_z
_atom_site_occupancy
Ba1 Ba 0.0000 0.0000 0.0000 1
Ba2 Ba 0.0000 0.0000 0.3005 1
Li1 Li 0.0000 0.0000 0.5394 1
Li2 Li 0.0020 0.2974 0.6394 1
Li3 Li 0.0192 0.5096 0.1452 1
Li4 Li 0.1700 0.3400 0.8232 1
Li5 Li 0.1728 0.3455 0.1319 1
Ac1 Ac 0.0000 0.0000 0.7474 1
```



[3]
B2H2Br7 after structural relaxation, computed with PBE.

For the total DFT energy (no corrections), the calculation gives -2.74 eV/atom.

Geometry as CIF:
```
data_B2H2Br7
_chemical_formula_sum 'B4 H4 Br14'
_cell_length_a 10.988
_cell_length_b 11.853
_cell_length_c 6.519
_cell_angle_alpha 90.00
_cell_angle_beta 90.27
_cell_angle_gamma 90.00
_space_group_name_H-M_alt 'C 1 2/m 1'
_space_group_IT_number 12
loop_
_space_group_symop_operation_xyz
'x,y,z'
'-x,-y,-z'
'-x,y,-z'
'x,-y,z'
'x+1/2,y+1/2,z'
'-x+1/2,-y+1/2,-z'
'-x+1/2,y+1/2,-z'
'x+1/2,-y+1/2,z'
loop_
_atom_site_label
_atom_site_type_symbol
_atom_site_fract_x
_atom_site_fract_y
_atom_site_fract_z
_atom_site_occupancy
B1 B 0.186 0.000 0.104 1
H1 H 0.000 0.351 0.500 1
Br1 Br 0.000 0.500 0.000 1
Br2 Br 0.157 0.140 0.237 1
Br3 Br 0.240 0.000 0.823 1
```